[1]
The following is a PBE-GGA calculation of an optimized crystal structure of TlSiBiS4, from the Alexandria database.

Lattice parameters (Å, degrees): 6.585 6.698 8.739 90.00 107.37 90.00
Space group P2_1/m (No. 11)
Inequivalent atoms, fractional coordinates:
Tl 0.240 0.250 0.432 (multiplicity 2)
Si 0.279 0.750 0.177 (multiplicity 2)
Bi 0.262 0.250 0.952 (multiplicity 2)
S 0.083 0.750 0.330 (multiplicity 2)
S 0.085 0.750 0.932 (multiplicity 2)
S 0.493 0.501 0.218 (multiplicity 4)

Results
The density of states at the Fermi level is 0.00 states/eV per atom.



[2]
The following is a PBE-GGA calculation of an optimized crystal structure of SiBiWS2, from the Alexandria database.

Lattice parameters (Å, degrees): 4.505 4.505 5.330 90.00 90.00 90.00
Space group P4/mmm (No. 123)
Inequivalent atoms, fractional coordinates:
Si 0.000 0.000 0.000 (multiplicity 1)
Bi 0.000 0.000 0.500 (multiplicity 1)
W 0.500 0.500 0.500 (multiplicity 1)
S 0.000 0.500 0.000 (multiplicity 2)

Results
The density of states at the Fermi level is 0.76 states/eV per atom.



[3]
The following is a PBE-GGA calculation of an optimized crystal structure of Sm4BiS2, from the Alexandria database.

Lattice parameters (Å, degrees): 4.188 13.315 13.687 90.00 90.00 90.00
Space group Cmcm (No. 63)
Inequivalent atoms, fractional coordinates:
Sm 0.000 0.000 0.000 (multiplicity 4)
Sm 0.000 0.262 0.113 (multiplicity 8)
Sm 0.000 0.433 0.750 (multiplicity 4)
Bi 0.000 0.111 0.750 (multiplicity 4)
S 0.000 0.368 0.559 (multiplicity 8)

Results
The density of states at the Fermi level is 0.58 states/eV per atom.



[4]
The following is a PBE-GGA calculation of an optimized crystal structure of Sm3BiS6, from the Alexandria database.

Lattice parameters (Å, degrees): 10.827 13.658 6.951 90.00 90.00 90.00
Space group Cmc2_1 (No. 36)
Inequivalent atoms, fractional coordinates:
Sm 0.000 0.096 0.000 (multiplicity 4)
Sm 0.187 0.399 0.092 (multiplicity 8)
Bi 0.000 0.322 0.608 (multiplicity 4)
S 0.000 0.270 0.228 (multiplicity 4)
S 0.000 0.491 0.856 (multiplicity 4)
S 0.165 0.029 0.293 (multiplicity 8)
S 0.170 0.233 0.813 (multiplicity 8)



[5]
The following is a PBE-GGA calculation of an optimized crystal structure of Sm3BiS6, from the Alexandria database.

Lattice parameters (Å, degrees): 11.341 4.103 11.561 90.00 108.62 90.00
Space group P2_1/m (No. 11)
Inequivalent atoms, fractional coordinates:
Sm 0.074 0.250 0.167 (multiplicity 2)
Sm 0.172 0.750 0.499 (multiplicity 2)
Sm 0.339 0.250 0.919 (multiplicity 2)
Bi 0.473 0.250 0.318 (multiplicity 2)
S 0.020 0.250 0.386 (multiplicity 2)
S 0.099 0.250 0.933 (multiplicity 2)
S 0.239 0.750 0.281 (multiplicity 2)
S 0.308 0.750 0.746 (multiplicity 2)
S 0.390 0.250 0.535 (multiplicity 2)
S 0.418 0.750 0.092 (multiplicity 2)

Results
The density of states at the Fermi level is 0.00 states/eV per atom.



[6]
The following is a PBE-GGA calculation of an optimized crystal structure of SmBi3S6, from the Alexandria database.

Lattice parameters (Å, degrees): 11.676 4.014 11.684 90.00 106.26 90.00
Space group P2_1/m (No. 11)
Inequivalent atoms, fractional coordinates:
Sm 0.188 0.250 0.039 (multiplicity 2)
Bi 0.019 0.750 0.302 (multiplicity 2)
Bi 0.334 0.250 0.430 (multiplicity 2)
Bi 0.407 0.750 0.846 (multiplicity 2)
S 0.038 0.750 0.896 (multiplicity 2)
S 0.115 0.250 0.463 (multiplicity 2)
S 0.219 0.750 0.234 (multiplicity 2)
S 0.250 0.250 0.809 (multiplicity 2)
S 0.386 0.750 0.068 (multiplicity 2)
S 0.411 0.750 0.588 (multiplicity 2)



Formation energy without anion corrections
In order: -0.54 1.19 -1.43 -1.60 -1.60 -0.79
Unit: eV/atom